[1]
Ac5SnPb4 after structural relaxation. Source: the Alexandria database, functional PBE.

Computed properties:
- ΔE to the lowest computed polymorph (meV/atom) = 102.4

a = 10.871 Å, b = 10.871 Å, c = 6.862 Å
α = 90.00°, β = 90.00°, γ = 90.00°
Space group I4 (No. 79)
Symmetry-distinct sites (fractional):
Ac1 0.000 0.000 0.000
Ac2 0.099 0.296 0.501
Sn1 0.000 0.000 0.500
Pb1 0.098 0.301 0.001

[2]
Ac4Sn15Pb after structural relaxation. Source: the Alexandria database, functional PBE.

Computed properties:
- DFT total energy (eV/atom) = -4.39

a = 4.919 Å, b = 4.919 Å, c = 24.455 Å
α = 90.00°, β = 90.00°, γ = 90.00°
Space group P4/mmm (No. 123)
Symmetry-distinct sites (fractional):
Ac1 0.000 0.000 0.100
Ac2 0.000 0.000 0.300
Sn1 0.000 0.500 0.000
Sn2 0.000 0.500 0.201
Sn3 0.000 0.500 0.405
Sn4 0.500 0.500 0.100
Sn5 0.500 0.500 0.302
Sn6 0.500 0.500 0.500
Pb1 0.000 0.000 0.500